## one
Below is a relaxed TcIrAu2 crystal, with properties calculated at the PBE level.

Lattice parameters (Å, degrees): 2.831 3.890 5.912 90.00 90.00 90.00
Positions (direct):
Tc (0.000, 0.000, 0.000)
Ir (0.500, 0.500, 0.811)
Au (0.000, 0.000, 0.533)
Au (0.500, 0.500, 0.274)

Calculated values
Spin magnetization ... 0.00 μB/f.u.
Space group ... Pmm2

***

## two
Below is a relaxed TcIrAu2 crystal, with properties calculated at the PBE level.

Lattice parameters (Å, degrees): 9.275 2.815 5.023 90.00 99.38 90.00
Positions (direct):
Tc (0.000, 0.000, 0.000)
Tc (0.500, 0.500, 0.000)
Ir (0.263, 0.000, 0.815)
Ir (0.763, 0.500, 0.815)
Au (0.009, 0.500, 0.524)
Au (0.253, 0.500, 0.289)
Au (0.509, 0.000, 0.524)
Au (0.753, 0.000, 0.289)

Calculated values
Spin magnetization ... 0.00 μB/f.u.
Space group ... Cm

***

## three
Below is a relaxed TcIrAu2 crystal, with properties calculated at the PBE level.

Lattice parameters (Å, degrees): 3.990 3.990 8.042 90.00 90.00 90.00
Positions (direct):
Tc (0.000, 0.000, 0.000)
Tc (0.500, 0.500, 0.500)
Ir (0.000, 0.500, 0.250)
Ir (0.500, 0.000, 0.750)
Au (0.000, 0.000, 0.500)
Au (0.000, 0.500, 0.750)
Au (0.500, 0.000, 0.250)
Au (0.500, 0.500, 0.000)

Calculated values
Spin magnetization ... 0.00 μB/f.u.
Space group ... I-4m2

***

Which structure is the least stable? The one labeled three.